Record 1
# K2LiRuF6, optimized geometry, DFT PBEsol
data_K2LiRuF6
_symmetry_space_group_name_H-M 'F m -3 m'
_symmetry_Int_Tables_number 225
_symmetry_space_group_name_Hall '-F 4 2 3'
_cell_length_a 8.0303
_cell_length_b 8.0303
_cell_length_c 8.0303
_cell_angle_alpha 90.00
_cell_angle_beta 90.00
_cell_angle_gamma 90.00
loop_
_atom_site_label
_atom_site_fract_x
_atom_site_fract_y
_atom_site_fract_z
K1 0.2500 0.2500 0.2500
Li1 0.0000 0.0000 0.0000
Ru1 0.0000 0.0000 0.5000
F1 0.0000 0.0000 0.2519
# E_form (uncorrected)	-2.412	eV per atom
# total moment	4.00	μB per cell
# E	-5.01	eV/atom
# V	12.9	A^3/atom

***

Record 2
# K2LiVF6, optimized geometry, DFT PBEsol
data_K2LiVF6
_symmetry_space_group_name_H-M 'F m -3 m'
_symmetry_Int_Tables_number 225
_symmetry_space_group_name_Hall '-F 4 2 3'
_cell_length_a 7.9681
_cell_length_b 7.9681
_cell_length_c 7.9681
_cell_angle_alpha 90.00
_cell_angle_beta 90.00
_cell_angle_gamma 90.00
loop_
_atom_site_label
_atom_site_fract_x
_atom_site_fract_y
_atom_site_fract_z
K1 0.2500 0.2500 0.2500
Li1 0.0000 0.0000 0.0000
V1 0.0000 0.0000 0.5000
F1 0.0000 0.0000 0.2569
# E_form (uncorrected)	-2.936	eV per atom
# total moment	8.00	μB per cell
# E	-5.48	eV/atom
# V	12.6	A^3/atom

***

Record 3
# K2LuF5, optimized geometry, DFT PBEsol
data_K2LuF5
_symmetry_space_group_name_H-M 'P n m a'
_symmetry_Int_Tables_number 62
_cell_length_a 10.6678
_cell_length_b 7.0314
_cell_length_c 6.5076
_cell_angle_alpha 90.00
_cell_angle_beta 90.00
_cell_angle_gamma 90.00
loop_
_symmetry_equiv_pos_as_xyz
'x,y,z'
'-x,-y,-z'
'-x+1/2,-y,z+1/2'
'x+1/2,y,-z+1/2'
'x+1/2,-y+1/2,-z+1/2'
'-x+1/2,y+1/2,z+1/2'
'-x,y+1/2,-z'
'x,-y+1/2,z'
loop_
_atom_site_label
_atom_site_fract_x
_atom_site_fract_y
_atom_site_fract_z
K1 0.1710 0.0030 0.0377
Lu1 0.0031 0.2500 0.5634
F1 0.0143 0.2500 0.8884
F2 0.0726 0.5368 0.6472
F3 0.1657 0.2500 0.3778
F4 0.1882 0.7500 0.3438
# E_form (uncorrected)	-3.553	eV per atom
# total moment	0.25	μB per cell
# E	-5.65	eV/atom
# V	15.3	A^3/atom

***

Record 4
# K2MgF, optimized geometry, DFT PBEsol
data_K2MgF
_symmetry_space_group_name_H-M 'F m -3 m'
_symmetry_Int_Tables_number 225
_symmetry_space_group_name_Hall '-F 4 2 3'
_cell_length_a 8.1290
_cell_length_b 8.1290
_cell_length_c 8.1290
_cell_angle_alpha 90.00
_cell_angle_beta 90.00
_cell_angle_gamma 90.00
loop_
_atom_site_label
_atom_site_fract_x
_atom_site_fract_y
_atom_site_fract_z
K1 0.2500 0.2500 0.2500
Mg1 0.0000 0.0000 0.0000
F1 0.0000 0.0000 0.5000
# E_form (uncorrected)	-0.616	eV per atom
# total moment	2.31	μB per cell
# E	-2.09	eV/atom
# V	33.6	A^3/atom

***

Record 5
# KMgF3, optimized geometry, DFT PBEsol
data_KMgF3
_symmetry_space_group_name_H-M 'P m -3 m'
_symmetry_Int_Tables_number 221
_symmetry_space_group_name_Hall '-P 4 2 3'
_cell_length_a 3.9897
_cell_length_b 3.9897
_cell_length_c 3.9897
_cell_angle_alpha 90.00
_cell_angle_beta 90.00
_cell_angle_gamma 90.00
loop_
_atom_site_label
_atom_site_fract_x
_atom_site_fract_y
_atom_site_fract_z
K1 0.0000 0.0000 0.0000
Mg1 0.5000 0.5000 0.5000
F1 0.0000 0.5000 0.5000
# E_form (uncorrected)	-3.312	eV per atom
# total moment	0.00	μB per cell
# E	-5.04	eV/atom
# V	12.7	A^3/atom

***

Record 6
# KNaMg2F6, optimized geometry, DFT PBEsol
data_KNaMg2F6
_symmetry_space_group_name_H-M 'F m -3 m'
_symmetry_Int_Tables_number 225
_symmetry_space_group_name_Hall '-F 4 2 3'
_cell_length_a 7.8984
_cell_length_b 7.8984
_cell_length_c 7.8984
_cell_angle_alpha 90.00
_cell_angle_beta 90.00
_cell_angle_gamma 90.00
loop_
_atom_site_label
_atom_site_fract_x
_atom_site_fract_y
_atom_site_fract_z
K1 0.0000 0.0000 0.0000
Na1 0.0000 0.0000 0.5000
Mg1 0.2500 0.2500 0.2500
F1 0.0000 0.2500 0.2500
# ΔE to the lowest computed polymorph	2	meV/atom
# E_form (uncorrected)	-3.257	eV per atom
# total moment	0.00	μB per cell
# E	-5.01	eV/atom
# V	12.3	A^3/atom

***

Record 7
# KNa3Mg4F12, optimized geometry, DFT PBEsol
data_KNa3Mg4F12
_symmetry_space_group_name_H-M 'P 1 m 1'
_symmetry_Int_Tables_number 6
_cell_length_a 5.4636
_cell_length_b 7.7967
_cell_length_c 5.5167
_cell_angle_alpha 90.00
_cell_angle_beta 90.29
_cell_angle_gamma 90.00
loop_
_symmetry_equiv_pos_as_xyz
'x,y,z'
'x,-y,z'
loop_
_atom_site_label
_atom_site_fract_x
_atom_site_fract_y
_atom_site_fract_z
K1 0.0000 0.0000 0.0000
Na1 0.0103 0.5000 0.9476
Na2 0.5075 0.0000 0.5112
Na3 0.5074 0.5000 0.4565
Mg1 0.0056 0.2527 0.4790
Mg2 0.5074 0.2542 0.9837
F1 0.0781 0.0000 0.4921
F2 0.2127 0.2812 0.1885
F3 0.2949 0.2965 0.6936
F4 0.4707 0.0000 0.9363
F5 0.5771 0.5000 0.0296
F6 0.7077 0.2050 0.2795
F7 0.7946 0.2447 0.7684
F8 0.9344 0.5000 0.4712
# E_form (uncorrected)	-3.253	eV per atom
# total moment	0.00	μB per cell
# E	-5.02	eV/atom
# V	11.7	A^3/atom

***

Record 8
# KNaMg2F6, optimized geometry, DFT PBEsol
data_KNaMg2F6
_symmetry_space_group_name_H-M 'P 4/m m m'
_symmetry_Int_Tables_number 123
_symmetry_space_group_name_Hall '-P 4 2'
_cell_length_a 3.9480
_cell_length_b 3.9480
_cell_length_c 7.8907
_cell_angle_alpha 90.00
_cell_angle_beta 90.00
_cell_angle_gamma 90.00
loop_
_atom_site_label
_atom_site_fract_x
_atom_site_fract_y
_atom_site_fract_z
K1 0.0000 0.0000 0.0000
Na1 0.0000 0.0000 0.5000
Mg1 0.5000 0.5000 0.2532
F1 0.0000 0.5000 0.2563
F2 0.5000 0.5000 0.0000
F3 0.5000 0.5000 0.5000
# ΔE to the lowest computed polymorph	0	meV/atom
# E_form (uncorrected)	-3.259	eV per atom
# total moment	0.00	μB per cell
# E	-5.01	eV/atom
# V	12.3	A^3/atom

***

Record 9
# KNaMg2Si4O10F2, optimized geometry, DFT PBEsol
data_KNaMg2Si4O10F2
_symmetry_space_group_name_H-M 'C 1 2/m 1'
_symmetry_Int_Tables_number 12
_cell_length_a 5.3068
_cell_length_b 9.1157
_cell_length_c 10.3028
_cell_angle_alpha 90.00
_cell_angle_beta 101.29
_cell_angle_gamma 90.00
loop_
_symmetry_equiv_pos_as_xyz
'x,y,z'
'-x,-y,-z'
'-x,y,-z'
'x,-y,z'
'x+1/2,y+1/2,z'
'-x+1/2,-y+1/2,-z'
'-x+1/2,y+1/2,-z'
'x+1/2,-y+1/2,z'
loop_
_atom_site_label
_atom_site_fract_x
_atom_site_fract_y
_atom_site_fract_z
K1 0.0000 0.0000 0.0000
Na1 0.0000 0.5000 0.5000
Mg1 0.0000 0.1654 0.5000
Si1 0.0807 0.3299 0.2265
O1 0.0505 0.5000 0.1696
O2 0.1399 0.3180 0.3841
O3 0.1919 0.2469 0.8405
F1 0.0931 0.0000 0.3912
# E_form (uncorrected)	-2.857	eV per atom
# total moment	0.00	μB per cell
# E	-7.12	eV/atom
# V	12.2	A^3/atom

***

Record 10
# K2RbMgF, optimized geometry, DFT PBEsol
data_K2RbMgF
_symmetry_space_group_name_H-M 'P 4/m m m'
_symmetry_Int_Tables_number 123
_symmetry_space_group_name_Hall '-P 4 2'
_cell_length_a 6.7161
_cell_length_b 6.7161
_cell_length_c 7.0693
_cell_angle_alpha 90.00
_cell_angle_beta 90.00
_cell_angle_gamma 90.00
loop_
_atom_site_label
_atom_site_fract_x
_atom_site_fract_y
_atom_site_fract_z
K1 0.0000 0.5000 0.0000
Rb1 0.0000 0.0000 0.5000
Mg1 0.0000 0.0000 0.0000
F1 0.5000 0.5000 0.5000
# E_form (uncorrected)	-0.192	eV per atom
# total moment	0.05	μB per cell
# E	-1.58	eV/atom
# V	63.8	A^3/atom

***

Record 11
# K2MnF6, optimized geometry, DFT PBEsol
data_K2MnF6
_symmetry_space_group_name_H-M 'P 63 m c'
_symmetry_Int_Tables_number 186
_symmetry_space_group_name_Hall 'P 6c -2c'
_cell_length_a 5.6687
_cell_length_b 5.6687
_cell_length_c 9.2534
_cell_angle_alpha 90.00
_cell_angle_beta 90.00
_cell_angle_gamma 120.00
loop_
_atom_site_label
_atom_site_fract_x
_atom_site_fract_y
_atom_site_fract_z
K1 0.0000 0.0000 0.0000
K2 0.3333 0.6667 0.2278
Mn1 0.3333 0.6667 0.8448
F1 0.0339 0.5169 0.9598
F2 0.1790 0.3581 0.7367
# E_form (uncorrected)	-2.698	eV per atom
# total moment	6.00	μB per cell
# E	-5.32	eV/atom
# V	14.3	A^3/atom

***

Record 12
# K2MnF6, optimized geometry, DFT PBEsol
data_K2MnF6
_symmetry_space_group_name_H-M 'F m -3 m'
_symmetry_Int_Tables_number 225
_symmetry_space_group_name_Hall '-F 4 2 3'
_cell_length_a 8.1108
_cell_length_b 8.1108
_cell_length_c 8.1108
_cell_angle_alpha 90.00
_cell_angle_beta 90.00
_cell_angle_gamma 90.00
loop_
_atom_site_label
_atom_site_fract_x
_atom_site_fract_y
_atom_site_fract_z
K1 0.2500 0.2500 0.2500
Mn1 0.0000 0.0000 0.0000
F1 0.0000 0.0000 0.2236
# E_form (uncorrected)	-2.698	eV per atom
# total moment	12.00	μB per cell
# E	-5.32	eV/atom
# V	14.8	A^3/atom

***

Record 13
# K2NaMnF6, optimized geometry, DFT PBEsol
data_K2NaMnF6
_symmetry_space_group_name_H-M 'F m -3 m'
_symmetry_Int_Tables_number 225
_symmetry_space_group_name_Hall '-F 4 2 3'
_cell_length_a 8.2817
_cell_length_b 8.2817
_cell_length_c 8.2817
_cell_angle_alpha 90.00
_cell_angle_beta 90.00
_cell_angle_gamma 90.00
loop_
_atom_site_label
_atom_site_fract_x
_atom_site_fract_y
_atom_site_fract_z
K1 0.2500 0.2500 0.2500
Na1 0.0000 0.0000 0.0000
Mn1 0.0000 0.0000 0.5000
F1 0.0000 0.0000 0.2675
# E_form (uncorrected)	-2.699	eV per atom
# total moment	16.00	μB per cell
# E	-5.20	eV/atom
# V	14.2	A^3/atom

***

Record 14
# KRbMnF6, optimized geometry, DFT PBEsol
data_KRbMnF6
_symmetry_space_group_name_H-M 'F -4 3 m'
_symmetry_Int_Tables_number 216
_symmetry_space_group_name_Hall 'F -4 2 3'
_cell_length_a 8.2909
_cell_length_b 8.2909
_cell_length_c 8.2909
_cell_angle_alpha 90.00
_cell_angle_beta 90.00
_cell_angle_gamma 90.00
loop_
_atom_site_label
_atom_site_fract_x
_atom_site_fract_y
_atom_site_fract_z
K1 0.0000 0.0000 0.0000
Rb1 0.0000 0.0000 0.5000
Mn1 0.2500 0.2500 0.7500
F1 0.0311 0.2500 0.7500
# E_form (uncorrected)	-2.699	eV per atom
# total moment	12.00	μB per cell
# E	-5.31	eV/atom
# V	15.8	A^3/atom

***

Record 15
# K2RbMn2F7, optimized geometry, DFT PBEsol
data_K2RbMn2F7
_symmetry_space_group_name_H-M 'I 4/m m m'
_symmetry_Int_Tables_number 139
_symmetry_space_group_name_Hall '-I 4 2'
_cell_length_a 4.1942
_cell_length_b 4.1942
_cell_length_c 21.5054
_cell_angle_alpha 90.00
_cell_angle_beta 90.00
_cell_angle_gamma 90.00
loop_
_atom_site_label
_atom_site_fract_x
_atom_site_fract_y
_atom_site_fract_z
K1 0.0000 0.0000 0.1854
Rb1 0.0000 0.0000 0.0000
Mn1 0.0000 0.0000 0.4006
F1 0.0000 0.0000 0.3044
F2 0.0000 0.0000 0.5000
F3 0.0000 0.5000 0.0987
# E_form (uncorrected)	-2.555	eV per atom
# total moment	20.00	μB per cell
# E	-5.58	eV/atom
# V	15.8	A^3/atom

***

Record 16
# KMo3F, optimized geometry, DFT PBEsol
data_KMo3F
_symmetry_space_group_name_H-M 'P m -3 m'
_symmetry_Int_Tables_number 221
_symmetry_space_group_name_Hall '-P 4 2 3'
_cell_length_a 5.5480
_cell_length_b 5.5480
_cell_length_c 5.5480
_cell_angle_alpha 90.00
_cell_angle_beta 90.00
_cell_angle_gamma 90.00
loop_
_atom_site_label
_atom_site_fract_x
_atom_site_fract_y
_atom_site_fract_z
K1 0.0000 0.0000 0.0000
Mo1 0.0000 0.0000 0.5000
F1 0.5000 0.5000 0.5000
# E_form (uncorrected)	3.719	eV per atom
# total moment	14.83	μB per cell
# E	-3.95	eV/atom
# V	34.2	A^3/atom

***

Record 17
# K2MoF, optimized geometry, DFT PBEsol
data_K2MoF
_symmetry_space_group_name_H-M 'F m -3 m'
_symmetry_Int_Tables_number 225
_symmetry_space_group_name_Hall '-F 4 2 3'
_cell_length_a 8.0259
_cell_length_b 8.0259
_cell_length_c 8.0259
_cell_angle_alpha 90.00
_cell_angle_beta 90.00
_cell_angle_gamma 90.00
loop_
_atom_site_label
_atom_site_fract_x
_atom_site_fract_y
_atom_site_fract_z
K1 0.2500 0.2500 0.2500
Mo1 0.0000 0.0000 0.0000
F1 0.0000 0.0000 0.5000
# E_form (uncorrected)	0.517	eV per atom
# total moment	19.99	μB per cell
# E	-3.47	eV/atom
# V	32.3	A^3/atom

***

Record 18
# K2NaMoF6, optimized geometry, DFT PBEsol
data_K2NaMoF6
_symmetry_space_group_name_H-M 'F m -3 m'
_symmetry_Int_Tables_number 225
_symmetry_space_group_name_Hall '-F 4 2 3'
_cell_length_a 8.4784
_cell_length_b 8.4784
_cell_length_c 8.4784
_cell_angle_alpha 90.00
_cell_angle_beta 90.00
_cell_angle_gamma 90.00
loop_
_atom_site_label
_atom_site_fract_x
_atom_site_fract_y
_atom_site_fract_z
K1 0.2500 0.2500 0.2500
Na1 0.0000 0.0000 0.0000
Mo1 0.0000 0.0000 0.5000
F1 0.0000 0.0000 0.2599
# E_form (uncorrected)	-2.621	eV per atom
# total moment	12.00	μB per cell
# E	-5.32	eV/atom
# V	15.2	A^3/atom

***

Record 19
# KNaMoO2F4, optimized geometry, DFT PBEsol
data_KNaMoO2F4
_symmetry_space_group_name_H-M 'P 4/n m m'
_symmetry_Int_Tables_number 129
_cell_length_a 5.9724
_cell_length_b 5.9724
_cell_length_c 8.2845
_cell_angle_alpha 90.00
_cell_angle_beta 90.00
_cell_angle_gamma 90.00
loop_
_symmetry_equiv_pos_as_xyz
'x,y,z'
'-x,-y,-z'
'-y+1/2,x,z'
'y+1/2,-x,-z'
'-x+1/2,-y+1/2,z'
'x+1/2,y+1/2,-z'
'y,-x+1/2,z'
'-y,x+1/2,-z'
'x+1/2,-y,-z'
'-x+1/2,y,z'
'-y,-x,-z'
'y,x,z'
'-x,y+1/2,-z'
'x,-y+1/2,z'
'y+1/2,x+1/2,-z'
'-y+1/2,-x+1/2,z'
loop_
_atom_site_label
_atom_site_fract_x
_atom_site_fract_y
_atom_site_fract_z
K1 0.2500 0.7500 0.0000
Na1 0.2500 0.2500 0.2768
Mo1 0.2500 0.2500 0.7606
O1 0.2500 0.2500 0.5499
O2 0.2500 0.2500 0.9808
F1 0.0216 0.0216 0.7680
# E_form (uncorrected)	-2.427	eV per atom
# total moment	0.08	μB per cell
# E	-6.04	eV/atom
# V	16.4	A^3/atom

***

Record 20
# K2NaMoO3F3, optimized geometry, DFT PBEsol
data_K2NaMoO3F3
_symmetry_space_group_name_H-M 'P 42 n m'
_symmetry_Int_Tables_number 102
_cell_length_a 5.8844
_cell_length_b 5.8844
_cell_length_c 8.5119
_cell_angle_alpha 90.00
_cell_angle_beta 90.00
_cell_angle_gamma 90.00
loop_
_symmetry_equiv_pos_as_xyz
'x,y,z'
'-y+1/2,x+1/2,z+1/2'
'-x,-y,z'
'y+1/2,-x+1/2,z+1/2'
'-x+1/2,y+1/2,z+1/2'
'y,x,z'
'x+1/2,-y+1/2,z+1/2'
'-y,-x,z'
loop_
_atom_site_label
_atom_site_fract_x
_atom_site_fract_y
_atom_site_fract_z
K1 0.0000 0.5000 0.0000
Na1 0.0000 0.0000 0.2408
Mo1 0.0000 0.0000 0.7581
O1 0.0000 0.0000 0.9629
O2 0.2129 0.2129 0.7172
F1 0.0000 0.0000 0.5017
F2 0.2369 0.7631 0.7388
# E_form (uncorrected)	-2.414	eV per atom
# total moment	0.01	μB per cell
# E	-6.11	eV/atom
# V	14.7	A^3/atom